First-principles (GGA-PBE) data for crystalline Cs2K5 at its relaxed geometry, as listed in the Alexandria database.

Computed properties:
- energy relative to the elements (eV/atom) = 0.00
- D(E_F) (states/eV/f.u.) = 5.7

abc: 5.2850 5.2850 41.9029
angles: 90.00 90.00 90.00
Last column: nearest neighbours and their distance in Å.
Element x y z (fractional)
Cs  0.0000  0.0000  0.2023  4 K 4.97, 8 Cs 5.29-5.47
Cs  0.0000  0.0000  0.7977  4 K 4.97, 8 Cs 5.29-5.47
Cs  0.5000  0.5000  0.2977  4 K 4.97, 8 Cs 5.29-5.47
Cs  0.5000  0.5000  0.7023  4 K 4.97, 8 Cs 5.29-5.47
K  0.0000  0.0000  0.0629  8 K 4.53-4.57
K  0.0000  0.0000  0.3760  4 K 4.53, 4 Cs 4.97
K  0.0000  0.0000  0.5000  8 K 4.57
K  0.0000  0.0000  0.6240  4 K 4.53, 4 Cs 4.97
K  0.0000  0.0000  0.9371  8 K 4.53-4.57
K  0.5000  0.5000  0.0000  8 K 4.57
K  0.5000  0.5000  0.1240  4 K 4.53, 4 Cs 4.97
K  0.5000  0.5000  0.4371  8 K 4.53-4.57
K  0.5000  0.5000  0.5629  8 K 4.53-4.57
K  0.5000  0.5000  0.8760  4 K 4.53, 4 Cs 4.97